Entry from Alexandria via LeMat-Bulk: a relaxed EuTm2Os crystal (PBE-GGA).

a b c (Å): 5.0825 5.0825 5.0825
angles (deg): 60.00 60.00 60.00
With the nearest neighbours (Å) after each atom.
Positions (direct):
Eu: 0.0000 0.0000 0.0000  8 Tm 3.11
Tm: 0.2500 0.2500 0.2500  4 Os 3.11, 4 Eu 3.11
Tm: 0.7500 0.7500 0.7500  4 Os 3.11, 4 Eu 3.11
Os: 0.5000 0.5000 0.5000  8 Tm 3.11

Computed properties:
E_tot   -7.514 eV/atom
Space group   Fm-3m (225)